La2Pr2Zn: relaxed, PBE.

Structure (CIF):
```
data_La2Pr2Zn
_space_group_name_H-M_alt 'I 4/m m m'
_space_group_IT_number 139
_space_group_name_Hall '-I 4 2'
_cell_length_a 3.7628
_cell_length_b 3.7628
_cell_length_c 23.1443
_cell_angle_alpha 90.00
_cell_angle_beta 90.00
_cell_angle_gamma 90.00
loop_
_atom_site_label
_atom_site_fract_x
_atom_site_fract_y
_atom_site_fract_z
La1 0.0000 0.0000 0.0798
Pr1 0.0000 0.0000 0.3046
Zn1 0.0000 0.0000 0.5000
```

Computed properties:
The formation energy is -119.3 meV/atom. Its calculated volume is 32.77 Å³/atom. Its total magnetization is 0.00 μB per atom.

---

La2PrZn4: relaxed, PBE.

Structure (CIF):
```
data_La2PrZn4
_space_group_name_H-M_alt 'R -3 m'
_space_group_IT_number 166
_space_group_name_Hall '-R 3 2"'
_cell_length_a 5.1594
_cell_length_b 5.1594
_cell_length_c 25.7085
_cell_angle_alpha 90.00
_cell_angle_beta 90.00
_cell_angle_gamma 120.00
loop_
_atom_site_label
_atom_site_fract_x
_atom_site_fract_y
_atom_site_fract_z
La1 0.0000 0.0000 0.2435
Pr1 0.0000 0.0000 0.0000
Zn1 0.0000 0.0000 0.1226
Zn2 0.0000 0.0000 0.3749
```

Computed properties:
The formation energy is -82.8 meV/atom. Its calculated volume is 28.22 Å³/atom. Its total magnetization is 0.00 μB per atom.

---

LaPrZn2: relaxed, PBE.

Structure (CIF):
```
data_LaPrZn2
_space_group_name_H-M_alt 'P 4/m m m'
_space_group_IT_number 123
_space_group_name_Hall '-P 4 2'
_cell_length_a 5.2784
_cell_length_b 5.2784
_cell_length_c 3.7493
_cell_angle_alpha 90.00
_cell_angle_beta 90.00
_cell_angle_gamma 90.00
loop_
_atom_site_label
_atom_site_fract_x
_atom_site_fract_y
_atom_site_fract_z
La1 0.0000 0.0000 0.0000
Pr1 0.5000 0.5000 0.0000
Zn1 0.0000 0.5000 0.5000
```

Computed properties:
The formation energy is -306.4 meV/atom. Its calculated volume is 26.11 Å³/atom. Its total magnetization is 0.00 μB per atom.

---

LaPr3Zn8: relaxed, PBE.

Structure (CIF):
```
data_LaPr3Zn8
_space_group_name_H-M_alt 'P 3 m 1'
_space_group_IT_number 156
_cell_length_a 5.7484
_cell_length_b 5.7484
_cell_length_c 8.8035
_cell_angle_alpha 90.00
_cell_angle_beta 90.00
_cell_angle_gamma 120.00
loop_
_space_group_symop_operation_xyz
'x,y,z'
'-y,x-y,z'
'-x+y,-x,z'
'-y,-x,z'
'-x+y,y,z'
'x,x-y,z'
loop_
_atom_site_label
_atom_site_fract_x
_atom_site_fract_y
_atom_site_fract_z
La1 0.0000 0.0000 0.0000
Pr1 0.0000 0.0000 0.4000
Pr2 0.6667 0.3333 0.5037
Pr3 0.6667 0.3333 0.8975
Zn1 0.0050 0.5025 0.2014
Zn2 0.1717 0.3433 0.6989
Zn3 0.3333 0.6667 0.4482
Zn4 0.3333 0.6667 0.9513
```

Computed properties:
The formation energy is -299.6 meV/atom. Its calculated volume is 20.99 Å³/atom. Its total magnetization is 0.00 μB per atom.